Crystalline NaHfCuC2 at its relaxed geometry, computed with GGA-PBE.

The space group is P4/mmm (No. 123) and the conventional cell measures 4.3246, 4.3246 and 5.1393 Å, with angles of 90.00, 90.00 and 90.00 degrees. The inequivalent atoms are Na at (0.0000, 0.0000, 0.0000), Hf at (0.5000, 0.5000, 0.5000), Cu at (0.5000, 0.5000, 0.0000) and C at (0.0000, 0.5000, 0.5000).

Its total moment is 0.0 μB per formula unit. The mass density is 5.0 g cm⁻³. For the density of states at the Fermi level, the calculation gives 3.5 states/eV/f.u. The calculated volume is 19.22 Å³ per atom. For the formation energy, the calculation gives 1.384 eV per atom.